Record 1
# Hf4InFeN2 (GGA-PBE, relaxed)
data_Hf4InFeN2
_space_group_name_H-M_alt 'P -6 m 2'
_space_group_IT_number 187
_space_group_name_Hall 'P -6 2'
_cell_length_a 3.1968
_cell_length_b 3.1968
_cell_length_c 14.0154
_cell_angle_alpha 90.00
_cell_angle_beta 90.00
_cell_angle_gamma 120.00
loop_
_atom_site_label
_atom_site_type_symbol
_atom_site_fract_x
_atom_site_fract_y
_atom_site_fract_z
Hf1 Hf 0.0000 0.0000 0.1379
Hf2 Hf 0.3333 0.6667 0.3237
In1 In 0.0000 0.0000 0.5000
Fe1 Fe 0.3333 0.6667 0.0000
N1 N 0.6667 0.3333 0.2340
# VASP energy = -9.3413 eV per atom
# M_tot = 0.907 μB per cell

Record 2
# HfNbInFe (GGA-PBE, relaxed)
data_HfNbInFe
_space_group_name_H-M_alt 'F -4 3 m'
_space_group_IT_number 216
_space_group_name_Hall 'F -4 2 3'
_cell_length_a 6.575
_cell_length_b 6.575
_cell_length_c 6.575
_cell_angle_alpha 90.00
_cell_angle_beta 90.00
_cell_angle_gamma 90.00
loop_
_atom_site_label
_atom_site_type_symbol
_atom_site_fract_x
_atom_site_fract_y
_atom_site_fract_z
Hf1 Hf 0.000 0.000 0.000
Nb1 Nb 0.250 0.250 0.250
In1 In 0.000 0.000 0.500
Fe1 Fe 0.250 0.250 0.750
# VASP energy = -7.5350 eV per atom
# M_tot = 8.024 μB per cell
# offset from the most stable computed form = 0.000 kcal/mol of atoms

Record 3
# HfInFePt (GGA-PBE, relaxed)
data_HfInFePt
_space_group_name_H-M_alt 'F -4 3 m'
_space_group_IT_number 216
_space_group_name_Hall 'F -4 2 3'
_cell_length_a 6.466
_cell_length_b 6.466
_cell_length_c 6.466
_cell_angle_alpha 90.00
_cell_angle_beta 90.00
_cell_angle_gamma 90.00
loop_
_atom_site_label
_atom_site_type_symbol
_atom_site_fract_x
_atom_site_fract_y
_atom_site_fract_z
Hf1 Hf 0.000 0.000 0.000
In1 In 0.000 0.000 0.500
Fe1 Fe 0.250 0.250 0.750
Pt1 Pt 0.250 0.250 0.250
# VASP energy = -7.2123 eV per atom
# M_tot = 5.058 μB per cell
# offset from the most stable computed form = 0.000 kcal/mol of atoms

Record 4
# HfInFePt (GGA-PBE, relaxed)
data_HfInFePt
_space_group_name_H-M_alt 'F -4 3 m'
_space_group_IT_number 216
_space_group_name_Hall 'F -4 2 3'
_cell_length_a 6.488
_cell_length_b 6.488
_cell_length_c 6.488
_cell_angle_alpha 90.00
_cell_angle_beta 90.00
_cell_angle_gamma 90.00
loop_
_atom_site_label
_atom_site_type_symbol
_atom_site_fract_x
_atom_site_fract_y
_atom_site_fract_z
Hf1 Hf 0.000 0.000 0.000
In1 In 0.250 0.250 0.250
Fe1 Fe 0.000 0.000 0.500
Pt1 Pt 0.250 0.250 0.750
# VASP energy = -6.9155 eV per atom
# M_tot = 11.210 μB per cell
# offset from the most stable computed form = 6.845 kcal/mol of atoms

Record 5
# HfTaInFe (GGA-PBE, relaxed)
data_HfTaInFe
_space_group_name_H-M_alt 'F -4 3 m'
_space_group_IT_number 216
_space_group_name_Hall 'F -4 2 3'
_cell_length_a 6.589
_cell_length_b 6.589
_cell_length_c 6.589
_cell_angle_alpha 90.00
_cell_angle_beta 90.00
_cell_angle_gamma 90.00
loop_
_atom_site_label
_atom_site_type_symbol
_atom_site_fract_x
_atom_site_fract_y
_atom_site_fract_z
Hf1 Hf 0.000 0.000 0.000
Ta1 Ta 0.250 0.250 0.750
In1 In 0.250 0.250 0.250
Fe1 Fe 0.000 0.000 0.500
# VASP energy = -7.8955 eV per atom
# M_tot = 7.817 μB per cell
# offset from the most stable computed form = 0.000 kcal/mol of atoms

Record 6
# HfZnInFe (GGA-PBE, relaxed)
data_HfZnInFe
_space_group_name_H-M_alt 'F -4 3 m'
_space_group_IT_number 216
_space_group_name_Hall 'F -4 2 3'
_cell_length_a 6.420
_cell_length_b 6.420
_cell_length_c 6.420
_cell_angle_alpha 90.00
_cell_angle_beta 90.00
_cell_angle_gamma 90.00
loop_
_atom_site_label
_atom_site_type_symbol
_atom_site_fract_x
_atom_site_fract_y
_atom_site_fract_z
Hf1 Hf 0.000 0.000 0.000
Zn1 Zn 0.250 0.250 0.750
In1 In 0.250 0.250 0.250
Fe1 Fe 0.000 0.000 0.500
# VASP energy = -5.4041 eV per atom
# M_tot = 7.668 μB per cell
# offset from the most stable computed form = 4.131 kcal/mol of atoms

Record 7
# HfZnInFe (GGA-PBE, relaxed)
data_HfZnInFe
_space_group_name_H-M_alt 'F -4 3 m'
_space_group_IT_number 216
_space_group_name_Hall 'F -4 2 3'
_cell_length_a 6.439
_cell_length_b 6.439
_cell_length_c 6.439
_cell_angle_alpha 90.00
_cell_angle_beta 90.00
_cell_angle_gamma 90.00
loop_
_atom_site_label
_atom_site_type_symbol
_atom_site_fract_x
_atom_site_fract_y
_atom_site_fract_z
Hf1 Hf 0.000 0.000 0.000
Zn1 Zn 0.250 0.250 0.250
In1 In 0.000 0.000 0.500
Fe1 Fe 0.250 0.250 0.750
# VASP energy = -5.5833 eV per atom
# M_tot = 5.557 μB per cell
# offset from the most stable computed form = 0.000 kcal/mol of atoms

Record 8
# HfFeIr2 (GGA-PBE, relaxed)
data_HfFeIr2
_space_group_name_H-M_alt 'F -4 3 m'
_space_group_IT_number 216
_space_group_name_Hall 'F -4 2 3'
_cell_length_a 6.284
_cell_length_b 6.284
_cell_length_c 6.284
_cell_angle_alpha 90.00
_cell_angle_beta 90.00
_cell_angle_gamma 90.00
loop_
_atom_site_label
_atom_site_type_symbol
_atom_site_fract_x
_atom_site_fract_y
_atom_site_fract_z
Hf1 Hf 0.000 0.000 0.000
Fe1 Fe 0.250 0.250 0.250
Ir1 Ir 0.000 0.000 0.500
Ir2 Ir 0.250 0.250 0.750
# ΔE_f = -221 meV per atom
# VASP energy = -9.2144 eV per atom
# M_tot = 14.087 μB per cell

Record 9
# HfFeIr (GGA-PBE, relaxed)
data_HfFeIr
_space_group_name_H-M_alt 'F -4 3 m'
_space_group_IT_number 216
_space_group_name_Hall 'F -4 2 3'
_cell_length_a 5.998
_cell_length_b 5.998
_cell_length_c 5.998
_cell_angle_alpha 90.00
_cell_angle_beta 90.00
_cell_angle_gamma 90.00
loop_
_atom_site_label
_atom_site_type_symbol
_atom_site_fract_x
_atom_site_fract_y
_atom_site_fract_z
Hf1 Hf 0.000 0.000 0.000
Fe1 Fe 0.250 0.250 0.750
Ir1 Ir 0.250 0.250 0.250
# ΔE_f = 283 meV per atom
# VASP energy = -8.7570 eV per atom
# M_tot = 7.869 μB per cell

Record 10
# HfFeIr (GGA-PBE, relaxed)
data_HfFeIr
_space_group_name_H-M_alt 'F -4 3 m'
_space_group_IT_number 216
_space_group_name_Hall 'F -4 2 3'
_cell_length_a 6.108
_cell_length_b 6.108
_cell_length_c 6.108
_cell_angle_alpha 90.00
_cell_angle_beta 90.00
_cell_angle_gamma 90.00
loop_
_atom_site_label
_atom_site_type_symbol
_atom_site_fract_x
_atom_site_fract_y
_atom_site_fract_z
Hf1 Hf 0.000 0.000 0.000
Fe1 Fe 0.000 0.000 0.500
Ir1 Ir 0.250 0.250 0.750
# ΔE_f = -157 meV per atom
# VASP energy = -9.1962 eV per atom
# M_tot = 12.426 μB per cell

Record 11
# HfFeIrPb (GGA-PBE, relaxed)
data_HfFeIrPb
_space_group_name_H-M_alt 'F -4 3 m'
_space_group_IT_number 216
_space_group_name_Hall 'F -4 2 3'
_cell_length_a 6.505
_cell_length_b 6.505
_cell_length_c 6.505
_cell_angle_alpha 90.00
_cell_angle_beta 90.00
_cell_angle_gamma 90.00
loop_
_atom_site_label
_atom_site_type_symbol
_atom_site_fract_x
_atom_site_fract_y
_atom_site_fract_z
Hf1 Hf 0.000 0.000 0.000
Fe1 Fe 0.250 0.250 0.750
Ir1 Ir 0.250 0.250 0.250
Pb1 Pb 0.000 0.000 0.500
# VASP energy = -7.8056 eV per atom
# M_tot = 4.905 μB per cell
# offset from the most stable computed form = 0.000 kcal/mol of atoms

Record 12
# HfFeIrPb (GGA-PBE, relaxed)
data_HfFeIrPb
_space_group_name_H-M_alt 'F -4 3 m'
_space_group_IT_number 216
_space_group_name_Hall 'F -4 2 3'
_cell_length_a 6.543
_cell_length_b 6.543
_cell_length_c 6.543
_cell_angle_alpha 90.00
_cell_angle_beta 90.00
_cell_angle_gamma 90.00
loop_
_atom_site_label
_atom_site_type_symbol
_atom_site_fract_x
_atom_site_fract_y
_atom_site_fract_z
Hf1 Hf 0.000 0.000 0.000
Fe1 Fe 0.000 0.000 0.500
Ir1 Ir 0.250 0.250 0.750
Pb1 Pb 0.250 0.250 0.250
# VASP energy = -7.5191 eV per atom
# M_tot = 12.346 μB per cell
# offset from the most stable computed form = 6.606 kcal/mol of atoms

Record 13
# HfFeSbIr (GGA-PBE, relaxed)
data_HfFeSbIr
_space_group_name_H-M_alt 'F -4 3 m'
_space_group_IT_number 216
_space_group_name_Hall 'F -4 2 3'
_cell_length_a 6.442
_cell_length_b 6.442
_cell_length_c 6.442
_cell_angle_alpha 90.00
_cell_angle_beta 90.00
_cell_angle_gamma 90.00
loop_
_atom_site_label
_atom_site_type_symbol
_atom_site_fract_x
_atom_site_fract_y
_atom_site_fract_z
Hf1 Hf 0.000 0.000 0.000
Fe1 Fe 0.250 0.250 0.750
Sb1 Sb 0.000 0.000 0.500
Ir1 Ir 0.250 0.250 0.250
# VASP energy = -8.1380 eV per atom
# M_tot = 7.839 μB per cell
# offset from the most stable computed form = 0.000 kcal/mol of atoms

Record 14
# HfFeSbIr (GGA-PBE, relaxed)
data_HfFeSbIr
_space_group_name_H-M_alt 'F -4 3 m'
_space_group_IT_number 216
_space_group_name_Hall 'F -4 2 3'
_cell_length_a 6.532
_cell_length_b 6.532
_cell_length_c 6.532
_cell_angle_alpha 90.00
_cell_angle_beta 90.00
_cell_angle_gamma 90.00
loop_
_atom_site_label
_atom_site_type_symbol
_atom_site_fract_x
_atom_site_fract_y
_atom_site_fract_z
Hf1 Hf 0.000 0.000 0.000
Fe1 Fe 0.000 0.000 0.500
Sb1 Sb 0.250 0.250 0.250
Ir1 Ir 0.250 0.250 0.750
# VASP energy = -7.8320 eV per atom
# M_tot = 11.181 μB per cell
# offset from the most stable computed form = 7.055 kcal/mol of atoms

Record 15
# HfFeSiIr (GGA-PBE, relaxed)
data_HfFeSiIr
_space_group_name_H-M_alt 'F -4 3 m'
_space_group_IT_number 216
_space_group_name_Hall 'F -4 2 3'
_cell_length_a 6.259
_cell_length_b 6.259
_cell_length_c 6.259
_cell_angle_alpha 90.00
_cell_angle_beta 90.00
_cell_angle_gamma 90.00
loop_
_atom_site_label
_atom_site_type_symbol
_atom_site_fract_x
_atom_site_fract_y
_atom_site_fract_z
Hf1 Hf 0.000 0.000 0.000
Fe1 Fe 0.000 0.000 0.500
Si1 Si 0.250 0.250 0.250
Ir1 Ir 0.250 0.250 0.750
# VASP energy = -8.3508 eV per atom
# M_tot = 12.931 μB per cell
# offset from the most stable computed form = 8.525 kcal/mol of atoms